The following is a DFT calculation (PBE-GGA) of crystalline Ac2Ge3Rh4Au at its relaxed geometry.

Output
DOS at the Fermi energy: 0.472 states/eV per atom
M_tot: 0.00 μB/f.u.
Space group: P-4m2
E_form: -726 kJ/mol of formula units

abc: 4.3328 4.3328 10.7369
angles: 90.00 90.00 90.00
Element x y z (fractional)
Rh (0.5000, 0.0000, 0.6506)
Rh (0.0000, 0.0000, 0.0000)
Rh (0.5000, 0.5000, 0.0000)
Rh (0.0000, 0.5000, 0.3494)
Ge (0.5000, 0.0000, 0.8806)
Ge (0.0000, 0.5000, 0.1194)
Ge (0.0000, 0.0000, 0.5000)
Ac (0.5000, 0.0000, 0.2542)
Ac (0.0000, 0.5000, 0.7458)
Au (0.5000, 0.5000, 0.5000)